16
Lattice="5.235 0.000 0.155 2.617 7.148 0.077 -2.387 0.000 6.991" Properties=species:S:1:pos:R:3 comment="Zn5Au3 GGA-PBE relaxed" m_tot_mub_per_fu=0.00 ef_ev_per_atom=-0.1604 dos_ef_per_ev_atom=0.15 pbc="T T T"
Au 5.351 5.960 3.692
Zn 0.047 2.210 5.998
Zn 5.422 2.211 1.231
Au 3.928 6.993 0.120
Zn 0.047 4.938 5.998
Zn 4.043 3.574 3.683
Zn 2.881 6.044 4.966
Zn 5.422 4.937 1.231
Au 0.116 1.188 3.537
Au 2.619 3.574 5.970
Au 3.928 0.155 0.120
Zn 1.423 3.574 3.546
Zn 2.587 1.105 2.265
Zn 2.587 6.043 2.265
Au 2.848 3.574 1.258
Zn 2.881 1.104 4.966



13
Lattice="9.501 0.048 0.029 8.058 5.034 0.029 8.058 2.332 4.461" Properties=species:S:1:pos:R:3 comment="Zn7Au6 GGA-PBE relaxed" m_tot_mub_per_fu=0.00 ef_ev_per_atom=-0.1340 dos_ef_per_ev_atom=0.26 pbc="T T T"
Zn 14.610 4.228 4.099
Au 1.333 0.386 0.235
Au 8.515 2.464 1.502
Zn 11.006 3.185 0.421
Zn 14.610 5.580 1.881
Au 21.497 6.221 3.793
Au 4.119 1.192 0.727
Zn 11.006 1.833 2.639
Zn 12.808 3.707 2.260
Au 17.102 4.949 3.017
Au 24.283 7.028 4.284
Zn 15.332 3.085 1.881
Zn 10.284 4.328 2.639



16
Lattice="7.662 0.000 0.000 3.832 6.635 0.000 0.000 0.000 5.377" Properties=species:S:1:pos:R:3 comment="Zn3Au5 GGA-PBE relaxed" m_tot_mub_per_fu=0.00 ef_ev_per_atom=-0.1255 dos_ef_per_ev_atom=0.11 pbc="T T T"
Au 8.528 1.500 4.033
Zn 1.538 2.663 1.344
Zn 6.125 2.663 4.033
Zn 5.369 3.971 1.344
Au 7.663 4.423 0.000
Au 6.796 1.499 1.344
Au 2.966 5.134 1.344
Au 4.698 5.135 4.033
Zn 8.419 6.634 1.344
Zn 3.075 0.000 4.033
Au 7.663 4.423 2.688
Zn 9.956 3.972 4.033
Au 3.831 2.211 0.000
Au 3.831 2.211 2.688
Au 5.930 0.000 4.033
Au 5.565 6.634 1.344



10
Lattice="4.593 0.000 0.000 0.000 4.946 0.000 0.000 -2.473 7.033" Properties=species:S:1:pos:R:3 comment="Zn3Au2 GGA-PBE relaxed" m_tot_mub_per_fu=0.00 ef_ev_per_atom=-0.1942 dos_ef_per_ev_atom=0.23 pbc="T T T"
Zn 3.444 1.531 0.000
Au 1.148 -1.490 5.567
Zn 1.148 3.415 0.000
Au 3.444 1.490 5.567
Au 3.444 3.963 1.465
Zn 3.444 1.573 2.835
Au 1.148 0.983 1.465
Zn 1.148 0.900 4.197
Zn 3.444 -0.900 4.197
Zn 1.148 3.373 2.835



Which formula does entry 1 have?
Zn5Au3